Record 1
DFT (PBE-GGA) results for crystalline BaPt2Br at its relaxed geometry.

Cell lengths 7.320, 7.320, 7.320 Å; angles 90.00, 90.00, 90.00 degrees
Space group Fm-3m (No. 225)
One atom of each set of equivalent atoms:
1 Ba 0.000 0.000 0.000 x4
2 Pt 0.250 0.250 0.250 x8
3 Br 0.000 0.000 0.500 x4

Properties
Electronic total energy ... -3.7279 eV/atom
ΔE to the lowest computed polymorph ... 804 meV/atom
Raw formation energy ... 191 meV per atom
DOS(E_F) ... 7.8 states/eV per cell

---

Record 2
DFT (PBE-GGA) results for crystalline TePb2F at its relaxed geometry.

Cell lengths 7.521, 7.521, 7.521 Å; angles 90.00, 90.00, 90.00 degrees
Space group Fm-3m (No. 225)
One atom of each set of equivalent atoms:
1 Te 0.000 0.000 0.000 x4
2 Pb 0.250 0.250 0.250 x8
3 F 0.000 0.000 0.500 x4

Properties
Electronic total energy ... -3.8390 eV/atom
ΔE to the lowest computed polymorph ... 81 meV/atom
Raw formation energy ... -732 meV per atom
DOS(E_F) ... 8.5 states/eV per cell

---

Record 3
DFT (PBE-GGA) results for crystalline BeNbSCl2 at its relaxed geometry.

Cell lengths 4.927, 4.927, 4.798 Å; angles 90.00, 90.00, 90.00 degrees
Space group P4/mmm (No. 123)
One atom of each set of equivalent atoms:
1 Be 0.000 0.000 0.000 x1
2 Nb 0.500 0.500 0.500 x1
3 S 0.500 0.500 0.000 x1
4 Cl 0.000 0.500 0.500 x2

Properties
Electronic total energy ... -4.3122 eV/atom
ΔE to the lowest computed polymorph ... 39 meV/atom
Raw formation energy ... 11 meV per atom
DOS(E_F) ... 3.7 states/eV per cell

---

Record 4
DFT (PBE-GGA) results for crystalline La2TiPd4 at its relaxed geometry.

Cell lengths 4.766, 4.766, 14.980 Å; angles 90.00, 90.00, 90.00 degrees
Space group I4/mmm (No. 139)
One atom of each set of equivalent atoms:
1 La 0.000 0.000 0.143 x4
2 Ti 0.000 0.000 0.500 x2
3 Pd 0.000 0.000 0.334 x4
4 Pd 0.000 0.500 0.000 x4

Properties
Electronic total energy ... -5.9125 eV/atom
ΔE_f ... -9.44 kcal/mol of atoms
DOS(E_F) ... 8.9 states/eV per cell

---

Record 5
DFT (PBE-GGA) results for crystalline HfMg2Cr at its relaxed geometry.

Cell lengths 7.727, 7.727, 5.243 Å; angles 90.00, 90.00, 90.00 degrees
Space group I-42d (No. 122)
One atom of each set of equivalent atoms:
1 Hf 0.000 0.000 0.000 x4
2 Mg 0.211 0.250 0.625 x8
3 Cr 0.000 0.000 0.500 x4

Properties
Electronic total energy ... -4.8654 eV/atom
ΔE to the lowest computed polymorph ... 420 meV/atom
ΔE_f ... 19.05 kcal/mol of atoms
DOS(E_F) ... 10.1 states/eV per cell

---

Record 6
DFT (PBE-GGA) results for crystalline Th6P2C3S at its relaxed geometry.

Cell lengths 17.434, 3.906, 8.038 Å; angles 90.00, 105.59, 90.00 degrees
Space group C2/m (No. 12)
One atom of each set of equivalent atoms:
1 Th 0.008 0.000 0.229 x4
2 Th 0.161 0.500 0.099 x4
3 Th 0.174 0.500 0.566 x4
4 P 0.165 0.000 0.831 x4
5 C 0.000 0.500 0.000 x2
6 C 0.167 0.000 0.336 x4
7 S 0.000 0.500 0.500 x2

Properties
Electronic total energy ... -8.2753 eV/atom
Raw formation energy ... -1014 meV per atom
DOS(E_F) ... 10.9 states/eV per cell

---

Record 7
DFT (PBE-GGA) results for crystalline Nd3Ga4Pt at its relaxed geometry.

Cell lengths 4.690, 6.731, 12.788 Å; angles 90.00, 90.00, 90.00 degrees
Space group Immm (No. 71)
One atom of each set of equivalent atoms:
1 Nd 0.000 0.000 0.000 x2
2 Nd 0.000 0.500 0.173 x4
3 Ga 0.000 0.297 0.381 x8
4 Pt 0.000 0.000 0.500 x2

Properties
Electronic total energy ... -4.6301 eV/atom
ΔE_f ... -13.23 kcal/mol of atoms
DOS(E_F) ... 13.7 states/eV per cell

---

Record 8
DFT (PBE-GGA) results for crystalline AcYHgPt at its relaxed geometry.

Cell lengths 7.549, 7.549, 7.549 Å; angles 90.00, 90.00, 90.00 degrees
Space group F-43m (No. 216)
One atom of each set of equivalent atoms:
1 Ac 0.000 0.000 0.000 x4
2 Y 0.000 0.000 0.500 x4
3 Hg 0.250 0.250 0.250 x4
4 Pt 0.250 0.250 0.750 x4

Properties
Electronic total energy ... -4.9204 eV/atom
ΔE_f ... -15.95 kcal/mol of atoms
DOS(E_F) ... 12.1 states/eV per cell

---

Record 9
DFT (PBE-GGA) results for crystalline K3Cd8Au at its relaxed geometry.

Cell lengths 6.2263, 6.2263, 30.9449 Å; angles 90.00, 90.00, 120.00 degrees
Space group R3m (No. 160, hexagonal axes)
One atom of each set of equivalent atoms:
1 K 0.0000 0.0000 0.0000 x3
2 K 0.0000 0.0000 0.1288 x3
3 K 0.0000 0.0000 0.6206 x3
4 Cd 0.0000 0.0000 0.3132 x3
5 Cd 0.0000 0.0000 0.8152 x3
6 Cd 0.1674 0.3348 0.8951 x9
7 Cd 0.1679 0.3358 0.3980 x9
8 Au 0.0000 0.0000 0.4734 x3

Properties
Electronic total energy ... -1.2178 eV/atom
ΔE_f ... -1.39 kcal/mol of atoms
DOS(E_F) ... 9.2 states/eV per cell

---

Record 10
DFT (PBE-GGA) results for crystalline CaThFeN3 at its relaxed geometry.

Cell lengths 7.148, 3.530, 7.617 Å; angles 90.00, 94.08, 90.00 degrees
Space group P2_1/m (No. 11)
One atom of each set of equivalent atoms:
1 Ca 0.143 0.250 0.160 x2
2 Th 0.370 0.750 0.818 x2
3 Fe 0.070 0.250 0.588 x2
4 N 0.128 0.250 0.837 x2
5 N 0.153 0.750 0.539 x2
6 N 0.400 0.750 0.129 x2

Properties
Electronic total energy ... -8.0558 eV/atom
Raw formation energy ... -912 meV per atom
DOS(E_F) ... 3.5 states/eV per cell

---

Record 11
DFT (PBE-GGA) results for crystalline CoCuAu2 at its relaxed geometry.

Cell lengths 3.870, 3.870, 8.021 Å; angles 90.00, 90.00, 90.00 degrees
Space group I-4m2 (No. 119)
One atom of each set of equivalent atoms:
1 Co 0.000 0.000 0.000 x2
2 Cu 0.000 0.500 0.750 x2
3 Au 0.000 0.000 0.500 x2
4 Au 0.000 0.500 0.250 x2

Properties
Electronic total energy ... -4.2497 eV/atom
ΔE_f ... 4.37 kcal/mol of atoms
DOS(E_F) ... 13.0 states/eV per cell

---

Record 12
DFT (PBE-GGA) results for crystalline Nd8Ho5Er at its relaxed geometry.

Cell lengths 12.975, 11.248, 9.110 Å; angles 90.00, 133.86, 90.00 degrees
Space group C2 (No. 5)
One atom of each set of equivalent atoms:
1 Nd 0.062 0.000 0.280 x4
2 Nd 0.065 0.556 0.290 x4
3 Nd 0.155 0.277 0.045 x4
4 Nd 0.200 0.083 0.769 x4
5 Ho 0.000 0.775 0.500 x2
6 Ho 0.182 0.279 0.463 x4
7 Ho 0.197 0.473 0.763 x4
8 Er 0.000 0.778 0.000 x2

Properties
Electronic total energy ... -4.5140 eV/atom
ΔE_f ... 3.95 kcal/mol of atoms
DOS(E_F) ... 42.3 states/eV per cell

---

Record 13
DFT (PBE-GGA) results for crystalline BeBIr2 at its relaxed geometry.

Cell lengths 5.530, 5.530, 5.530 Å; angles 90.00, 90.00, 90.00 degrees
Space group Fm-3m (No. 225)
One atom of each set of equivalent atoms:
1 Be 0.000 0.000 0.000 x4
2 B 0.000 0.000 0.500 x4
3 Ir 0.250 0.250 0.250 x8

Properties
Electronic total energy ... -7.3084 eV/atom
ΔE to the lowest computed polymorph ... 39 meV/atom
ΔE_f ... -6.39 kcal/mol of atoms
DOS(E_F) ... 4.5 states/eV per cell

---

Record 14
DFT (PBE-GGA) results for crystalline VB2W at its relaxed geometry.

Cell lengths 3.1042, 3.1042, 15.1032 Å; angles 90.00, 90.00, 120.00 degrees
Space group R-3m (No. 166, hexagonal axes)
One atom of each set of equivalent atoms:
1 V 0.0000 0.0000 0.0000 x3
2 B 0.0000 0.0000 0.2537 x6
3 W 0.0000 0.0000 0.5000 x3

Properties
Electronic total energy ... -9.1961 eV/atom
ΔE to the lowest computed polymorph ... 305 meV/atom
ΔE_f ... -7.83 kcal/mol of atoms
DOS(E_F) ... 4.4 states/eV per cell

---

Record 15
DFT (PBE-GGA) results for crystalline FeTe2Ru at its relaxed geometry.

Cell lengths 6.623, 6.623, 6.623 Å; angles 90.00, 90.00, 90.00 degrees
Space group Fm-3m (No. 225)
One atom of each set of equivalent atoms:
1 Fe 0.000 0.000 0.000 x4
2 Te 0.250 0.250 0.250 x8
3 Ru 0.000 0.000 0.500 x4

Properties
Electronic total energy ... -5.6672 eV/atom
ΔE to the lowest computed polymorph ... 364 meV/atom
Raw formation energy ... 338 meV per atom
DOS(E_F) ... 11.0 states/eV per cell

---

Record 16
DFT (PBE-GGA) results for crystalline VCdAg2 at its relaxed geometry.

Cell lengths 2.8185, 2.8185, 31.8510 Å; angles 90.00, 90.00, 120.00 degrees
Space group R-3m (No. 166, hexagonal axes)
One atom of each set of equivalent atoms:
1 V 0.0000 0.0000 0.0000 x3
2 Cd 0.0000 0.0000 0.5000 x3
3 Ag 0.0000 0.0000 0.0826 x6

Properties
Electronic total energy ... -3.4845 eV/atom
ΔE_f ... 10.37 kcal/mol of atoms
DOS(E_F) ... 10.7 states/eV per cell

---

Record 17
DFT (PBE-GGA) results for crystalline ScCu2 at its relaxed geometry.

Cell lengths 3.434, 3.434, 4.452 Å; angles 90.00, 90.00, 90.00 degrees
Space group P4/mmm (No. 123)
One atom of each set of equivalent atoms:
1 Sc 0.000 0.000 0.000 x1
2 Cu 0.000 0.500 0.500 x2

Properties
Electronic total energy ... -4.7046 eV/atom
ΔE_f ... 3.15 kcal/mol of atoms
DOS(E_F) ... 3.7 states/eV per cell

---

Record 18
DFT (PBE-GGA) results for crystalline Tb2GaB2Ir5 at its relaxed geometry.

Cell lengths 9.612, 9.612, 3.184 Å; angles 90.00, 90.00, 90.00 degrees
Space group P4/mbm (No. 127)
One atom of each set of equivalent atoms:
1 Tb 0.177 0.323 0.000 x4
2 Ga 0.000 0.000 0.000 x2
3 B 0.122 0.622 0.000 x4
4 Ir 0.000 0.500 0.500 x2
5 Ir 0.068 0.780 0.500 x8

Properties
Electronic total energy ... -7.7068 eV/atom
ΔE_f ... -16.42 kcal/mol of atoms
DOS(E_F) ... 6.3 states/eV per cell

---

Record 19
DFT (PBE-GGA) results for crystalline Te16Rh11 at its relaxed geometry.

Cell lengths 7.232, 9.730, 10.217 Å; angles 102.86, 91.51, 109.82 degrees
Space group P-1 (No. 2)
One atom of each set of equivalent atoms:
1 Te 0.021 0.224 0.417 x2
2 Te 0.097 0.527 0.252 x2
3 Te 0.132 0.195 0.049 x2
4 Te 0.264 0.209 0.661 x2
5 Te 0.286 0.911 0.316 x2
6 Te 0.373 0.534 0.911 x2
7 Te 0.378 0.872 0.862 x2
8 Te 0.389 0.626 0.567 x2
9 Rh 0.000 0.500 0.500 x1
10 Rh 0.043 0.286 0.833 x2
11 Rh 0.122 0.991 0.812 x2
12 Rh 0.236 0.968 0.085 x2
13 Rh 0.336 0.963 0.579 x2
14 Rh 0.461 0.533 0.313 x2

Properties
Electronic total energy ... -5.0863 eV/atom
Raw formation energy ... -230 meV per atom
DOS(E_F) ... 14.8 states/eV per cell

---

Record 20
DFT (PBE-GGA) results for crystalline ThScGa2Ni2 at its relaxed geometry.

Cell lengths 4.2806, 4.2806, 6.8096 Å; angles 90.00, 90.00, 120.00 degrees
Space group P-3m1 (No. 164)
One atom of each set of equivalent atoms:
1 Th 0.0000 0.0000 0.0000 x1
2 Sc 0.0000 0.0000 0.5000 x1
3 Ga 0.3333 0.6667 0.2970 x2
4 Ni 0.3333 0.6667 0.7140 x2

Properties
Electronic total energy ... -5.8404 eV/atom
ΔE_f ... -14.12 kcal/mol of atoms
DOS(E_F) ... 5.6 states/eV per cell